Record 1
DFT (PBE) results for a relaxed Ho3Zn2In crystal.

a = 3.556 Å, b = 3.556 Å, c = 11.223 Å
α = 90.00°, β = 90.00°, γ = 90.00°
Space group P4/mmm (No. 123)
Symmetry-distinct sites (fractional):
Ho: 0.000 0.000 0.000 (multiplicity 1)
Ho: 0.000 0.000 0.314 (multiplicity 2)
Zn: 0.500 0.500 0.154 (multiplicity 2)
In: 0.500 0.500 0.500 (multiplicity 1)

Results
As for the calculated total energy: -3.56 eV/atom. As for the formation energy: -2.341 eV per formula unit. Its density of states at the Fermi level is 1.02 states/eV per atom.

Record 2
DFT (PBE) results for a relaxed Ho7Zn4In crystal.

a = 13.915 Å, b = 5.646 Å, c = 8.960 Å
α = 90.00°, β = 120.17°, γ = 90.00°
Space group C2/m (No. 12)
Symmetry-distinct sites (fractional):
Ho: 0.000 0.000 0.000 (multiplicity 2)
Ho: 0.076 0.500 0.409 (multiplicity 4)
Ho: 0.188 0.500 0.876 (multiplicity 4)
Ho: 0.226 0.000 0.686 (multiplicity 4)
Zn: 0.019 0.000 0.676 (multiplicity 4)
Zn: 0.187 0.000 0.337 (multiplicity 4)
In: 0.000 0.500 0.000 (multiplicity 2)

Results
As for the calculated total energy: -3.43 eV/atom. As for the formation energy: -1.336 eV per formula unit. Its density of states at the Fermi level is 0.91 states/eV per atom.

Record 3
DFT (PBE) results for a relaxed Ho4Zn2In5 crystal.

a = 7.718 Å, b = 3.569 Å, c = 9.777 Å
α = 90.00°, β = 94.35°, γ = 90.00°
Space group P2/m (No. 10)
Symmetry-distinct sites (fractional):
Ho: 0.178 0.000 0.373 (multiplicity 2)
Ho: 0.252 0.000 0.938 (multiplicity 2)
Zn: 0.064 0.500 0.128 (multiplicity 2)
In: 0.174 0.500 0.659 (multiplicity 2)
In: 0.442 0.500 0.186 (multiplicity 2)
In: 0.500 0.500 0.500 (multiplicity 1)

Results
As for the calculated total energy: -3.53 eV/atom. As for the formation energy: -4.298 eV per formula unit. Its density of states at the Fermi level is 0.75 states/eV per atom.

Record 4
DFT (PBE) results for a relaxed Ho2ZnIn2 crystal.

a = 11.045 Å, b = 4.625 Å, c = 10.787 Å
α = 90.00°, β = 116.16°, γ = 90.00°
Space group C2/m (No. 12)
Symmetry-distinct sites (fractional):
Ho: 0.018 0.000 0.334 (multiplicity 4)
Ho: 0.178 0.000 0.097 (multiplicity 4)
Zn: 0.222 0.500 0.332 (multiplicity 4)
In: 0.029 0.500 0.879 (multiplicity 4)
In: 0.147 0.500 0.568 (multiplicity 4)

Results
As for the calculated total energy: -3.59 eV/atom. As for the formation energy: -2.037 eV per formula unit. Its density of states at the Fermi level is 0.66 states/eV per atom. As for the energy above the most stable polymorph in this dataset: 0.02 eV per formula unit.

Record 5
DFT (PBE) results for a relaxed Ho2Zn2In3 crystal.

a = 4.436 Å, b = 20.180 Å, c = 3.647 Å
α = 90.00°, β = 90.00°, γ = 90.00°
Space group Cmmm (No. 65)
Symmetry-distinct sites (fractional):
Ho: 0.000 0.164 0.000 (multiplicity 4)
Zn: 0.000 0.283 0.500 (multiplicity 4)
In: 0.000 0.000 0.000 (multiplicity 2)
In: 0.000 0.422 0.500 (multiplicity 4)

Results
As for the calculated total energy: -3.16 eV/atom. As for the formation energy: -2.207 eV per formula unit. Its density of states at the Fermi level is 0.58 states/eV per atom.

Record 6
DFT (PBE) results for a relaxed Ho6Zn5In crystal.

a = 5.057 Å, b = 7.224 Å, c = 15.200 Å
α = 90.00°, β = 90.00°, γ = 90.00°
Space group Immm (No. 71)
Symmetry-distinct sites (fractional):
Ho: 0.000 0.238 0.000 (multiplicity 4)
Ho: 0.000 0.256 0.329 (multiplicity 8)
Zn: 0.000 0.000 0.168 (multiplicity 4)
Zn: 0.000 0.500 0.164 (multiplicity 4)
Zn: 0.000 0.500 0.500 (multiplicity 2)
In: 0.000 0.000 0.500 (multiplicity 2)

Results
As for the calculated total energy: -3.41 eV/atom. As for the formation energy: -4.322 eV per formula unit. Its density of states at the Fermi level is 1.06 states/eV per atom.

Record 7
DFT (PBE) results for a relaxed HoZnIn2 crystal.

a = 3.608 Å, b = 3.608 Å, c = 7.187 Å
α = 90.00°, β = 90.00°, γ = 90.00°
Space group P4/mmm (No. 123)
Symmetry-distinct sites (fractional):
Ho: 0.000 0.000 0.000 (multiplicity 1)
Zn: 0.000 0.000 0.500 (multiplicity 1)
In: 0.500 0.500 0.285 (multiplicity 2)

Results
As for the calculated total energy: -3.02 eV/atom. As for the formation energy: -0.737 eV per formula unit. Its density of states at the Fermi level is 0.77 states/eV per atom.

Record 8
DFT (PBE) results for a relaxed HoZrZnIn crystal.

a = 7.089 Å, b = 7.089 Å, c = 7.089 Å
α = 90.00°, β = 90.00°, γ = 90.00°
Space group F-43m (No. 216)
Symmetry-distinct sites (fractional):
Ho: 0.000 0.000 0.000 (multiplicity 4)
Zr: 0.000 0.000 0.500 (multiplicity 4)
Zn: 0.250 0.250 0.250 (multiplicity 4)
In: 0.250 0.250 0.750 (multiplicity 4)

Results
As for the calculated total energy: -4.56 eV/atom. As for the formation energy: -1.083 eV per formula unit. Its density of states at the Fermi level is 0.35 states/eV per atom.

Record 9
DFT (PBE) results for a relaxed HoZr2In crystal.

a = 7.231 Å, b = 7.231 Å, c = 7.231 Å
α = 90.00°, β = 90.00°, γ = 90.00°
Space group Fm-3m (No. 225)
Symmetry-distinct sites (fractional):
Ho: 0.000 0.000 0.000 (multiplicity 4)
Zr: 0.250 0.250 0.250 (multiplicity 8)
In: 0.000 0.000 0.500 (multiplicity 4)

Results
As for the calculated total energy: -6.13 eV/atom. As for the formation energy: -0.121 eV per formula unit. Its density of states at the Fermi level is 0.45 states/eV per atom. As for the energy above the most stable polymorph in this dataset: 0.72 eV per formula unit.

Record 10
DFT (PBE) results for a relaxed Ho4ZrIn2 crystal.

a = 5.3607 Å, b = 5.3607 Å, c = 25.6016 Å
α = 90.00°, β = 90.00°, γ = 120.00°
Space group R-3m (No. 166, hexagonal axes)
Symmetry-distinct sites (fractional):
Ho: 0.0000 0.0000 0.1306 (multiplicity 6)
Ho: 0.0000 0.0000 0.2635 (multiplicity 6)
Zr: 0.0000 0.0000 0.5000 (multiplicity 3)
In: 0.0000 0.0000 0.3838 (multiplicity 6)

Results
As for the calculated total energy: -4.58 eV/atom. As for the formation energy: 0.301 eV per formula unit. Its density of states at the Fermi level is 1.58 states/eV per atom.

Record 11
DFT (PBE) results for a relaxed Ho9ZrIn2 crystal.

a = 4.812 Å, b = 4.812 Å, c = 14.677 Å
α = 90.00°, β = 90.00°, γ = 90.00°
Space group P4/mmm (No. 123)
Symmetry-distinct sites (fractional):
Ho: 0.000 0.000 0.000 (multiplicity 1)
Ho: 0.000 0.000 0.335 (multiplicity 2)
Ho: 0.000 0.500 0.165 (multiplicity 4)
Ho: 0.000 0.500 0.500 (multiplicity 2)
Zr: 0.500 0.500 0.000 (multiplicity 1)
In: 0.500 0.500 0.336 (multiplicity 2)

Results
As for the calculated total energy: -4.76 eV/atom. As for the formation energy: -1.907 eV per formula unit. Its density of states at the Fermi level is 0.92 states/eV per atom.

Record 12
DFT (PBE) results for a relaxed HoZr2In crystal.

a = 3.274 Å, b = 3.274 Å, c = 9.131 Å
α = 90.00°, β = 90.00°, γ = 90.00°
Space group P4/mmm (No. 123)
Symmetry-distinct sites (fractional):
Ho: 0.000 0.000 0.000 (multiplicity 1)
Zr: 0.500 0.500 0.266 (multiplicity 2)
In: 0.000 0.000 0.500 (multiplicity 1)

Results
As for the calculated total energy: -6.18 eV/atom. As for the formation energy: -0.311 eV per formula unit. Its density of states at the Fermi level is 1.36 states/eV per atom. As for the energy above the most stable polymorph in this dataset: 0.53 eV per formula unit.

Record 13
DFT (PBE) results for a relaxed Ho2ZrIn3 crystal.

a = 3.327 Å, b = 3.327 Å, c = 13.348 Å
α = 90.00°, β = 90.00°, γ = 90.00°
Space group P4/mmm (No. 123)
Symmetry-distinct sites (fractional):
Ho: 0.000 0.000 0.173 (multiplicity 2)
Zr: 0.000 0.000 0.500 (multiplicity 1)
In: 0.500 0.500 0.000 (multiplicity 1)
In: 0.500 0.500 0.343 (multiplicity 2)

Results
As for the calculated total energy: -4.70 eV/atom. As for the formation energy: -2.276 eV per formula unit. Its density of states at the Fermi level is 0.89 states/eV per atom. As for the energy above the most stable polymorph in this dataset: 0.00 eV per formula unit.

Record 14
DFT (PBE) results for a relaxed Ho3Zr2In2 crystal.

a = 4.899 Å, b = 22.780 Å, c = 3.280 Å
α = 90.00°, β = 90.00°, γ = 90.00°
Space group Cmmm (No. 65)
Symmetry-distinct sites (fractional):
Ho: 0.000 0.000 0.000 (multiplicity 2)
Ho: 0.000 0.149 0.000 (multiplicity 4)
Zr: 0.000 0.276 0.500 (multiplicity 4)
In: 0.000 0.423 0.500 (multiplicity 4)

Results
As for the calculated total energy: -5.37 eV/atom. As for the formation energy: -1.310 eV per formula unit. Its density of states at the Fermi level is 0.88 states/eV per atom.

Record 15
DFT (PBE) results for a relaxed Ho12Zr3In5 crystal.

a = 17.887 Å, b = 17.887 Å, c = 17.887 Å
α = 90.00°, β = 90.00°, γ = 90.00°
Space group Ia-3d (No. 230)
Symmetry-distinct sites (fractional):
Ho: 0.016 0.080 0.648 (multiplicity 96)
Zr: 0.000 0.250 0.125 (multiplicity 24)
In: 0.000 0.000 0.000 (multiplicity 16)
In: 0.000 0.250 0.375 (multiplicity 24)

Results
As for the calculated total energy: -4.15 eV/atom. As for the formation energy: 11.207 eV per formula unit. Its density of states at the Fermi level is 1.80 states/eV per atom.

Record 16
DFT (PBE) results for a relaxed Ho2ZrIn crystal.

a = 4.683 Å, b = 4.683 Å, c = 4.689 Å
α = 90.00°, β = 90.00°, γ = 90.00°
Space group P4/mmm (No. 123)
Symmetry-distinct sites (fractional):
Ho: 0.000 0.500 0.000 (multiplicity 2)
Zr: 0.000 0.000 0.500 (multiplicity 1)
In: 0.500 0.500 0.500 (multiplicity 1)

Results
As for the calculated total energy: -5.31 eV/atom. As for the formation energy: -0.796 eV per formula unit. Its density of states at the Fermi level is 1.03 states/eV per atom. As for the energy above the most stable polymorph in this dataset: 0.00 eV per formula unit.

Record 17
DFT (PBE) results for a relaxed HoZrIn crystal.

a = 4.322 Å, b = 14.935 Å, c = 4.666 Å
α = 90.00°, β = 90.00°, γ = 90.00°
Space group Cmcm (No. 63)
Symmetry-distinct sites (fractional):
Ho: 0.000 0.082 0.250 (multiplicity 4)
Zr: 0.000 0.244 0.750 (multiplicity 4)
In: 0.000 0.402 0.250 (multiplicity 4)

Results
As for the calculated total energy: -5.58 eV/atom. As for the formation energy: -0.881 eV per formula unit. Its density of states at the Fermi level is 0.89 states/eV per atom. As for the energy above the most stable polymorph in this dataset: 0.00 eV per formula unit.

Record 18
DFT (PBE) results for a relaxed Ho4ZrIn5 crystal.

a = 3.516 Å, b = 3.516 Å, c = 20.516 Å
α = 90.00°, β = 90.00°, γ = 90.00°
Space group P4/mmm (No. 123)
Symmetry-distinct sites (fractional):
Ho: 0.000 0.000 0.102 (multiplicity 2)
Ho: 0.000 0.000 0.305 (multiplicity 2)
Zr: 0.000 0.000 0.500 (multiplicity 1)
In: 0.500 0.500 0.000 (multiplicity 1)
In: 0.500 0.500 0.204 (multiplicity 2)
In: 0.500 0.500 0.407 (multiplicity 2)

Results
As for the calculated total energy: -4.45 eV/atom. As for the formation energy: -3.989 eV per formula unit. Its density of states at the Fermi level is 0.53 states/eV per atom.

Record 19
DFT (PBE) results for a relaxed Ho5ZrIn3 crystal.

a = 9.2208 Å, b = 9.2208 Å, c = 6.5904 Å
α = 90.00°, β = 90.00°, γ = 120.00°
Space group P6_3/mcm (No. 193)
Symmetry-distinct sites (fractional):
Ho: 0.0000 0.3176 0.2500 (multiplicity 6)
Ho: 0.3333 0.6667 0.0000 (multiplicity 4)
Zr: 0.0000 0.0000 0.0000 (multiplicity 2)
In: 0.0000 0.3429 0.7500 (multiplicity 6)

Results
As for the calculated total energy: -4.71 eV/atom. As for the formation energy: -2.746 eV per formula unit. Its density of states at the Fermi level is 0.93 states/eV per atom.

Record 20
DFT (PBE) results for a relaxed HoZrIn crystal.

a = 5.1974 Å, b = 5.1974 Å, c = 3.1193 Å
α = 90.00°, β = 90.00°, γ = 120.00°
Space group P3m1 (No. 156)
Symmetry-distinct sites (fractional):
Ho: 0.0000 0.0000 0.0000 (multiplicity 1)
Zr: 0.3333 0.6667 0.9977 (multiplicity 1)
In: 0.6667 0.3333 0.4996 (multiplicity 1)

Results
As for the calculated total energy: -5.26 eV/atom. As for the formation energy: 0.080 eV per formula unit. Its density of states at the Fermi level is 1.44 states/eV per atom. As for the energy above the most stable polymorph in this dataset: 0.96 eV per formula unit.

Record 21
DFT (PBE) results for a relaxed Ho2ZrIn3 crystal.

a = 4.764 Å, b = 14.234 Å, c = 4.367 Å
α = 90.00°, β = 90.00°, γ = 90.00°
Space group Cmmm (No. 65)
Symmetry-distinct sites (fractional):
Ho: 0.000 0.166 0.000 (multiplicity 4)
Zr: 0.000 0.500 0.000 (multiplicity 2)
In: 0.000 0.000 0.500 (multiplicity 2)
In: 0.000 0.339 0.500 (multiplicity 4)

Results
As for the calculated total energy: -4.69 eV/atom. As for the formation energy: -2.205 eV per formula unit. Its density of states at the Fermi level is 0.88 states/eV per atom. As for the energy above the most stable polymorph in this dataset: 0.07 eV per formula unit.